[1]
CeTcW: optimized geometry, PBE.

density = 12.1 Mg/m³
N(E_F) = 1.5350 states/eV per atom
DFT total energy = -9.6359 eV per atom
excess energy over the best structure of this formula in the dataset = 0 meV/atom
total moment = 0.000 μB per cell

Cell lengths 3.1273, 3.1273, 6.3373 Å; angles 104.28, 104.28, 90.00 degrees
With the nearest neighbours (Å) after each atom.
Positions (direct):
Ce 0.0023 0.0023 0.0046  4 Ce 3.13, 4 Tc 3.16, 4 W 3.21
Tc 0.6918 0.6918 0.3836  4 W 2.59
W 0.3059 0.3059 0.6118  4 Tc 2.59


[2]
WBrCl3: optimized geometry, PBE.

density = 4.2 Mg/m³
N(E_F) = 0.6107 states/eV per atom
DFT total energy = -4.6731 eV per atom
excess energy over the best structure of this formula in the dataset = 103 meV/atom
formation energy from raw total energies = -0.640 eV/atom
total moment = 2.041 μB per cell

Cell lengths 6.5712, 6.8678, 6.5545 Å; angles 90.00, 90.00, 96.48 degrees
With the nearest neighbours (Å) after each atom.
Positions (direct):
Br 0.2484 0.7035 0.2500  1 W 2.46
Cl 0.2922 0.1533 0.4999  2 W 2.45
Cl 0.2676 0.7263 0.7500  1 W 2.30
W 0.4984 0.9978 0.2500  5 Cl 2.30-2.45, 1 Br 2.46
W 0.5016 0.0022 0.7500  5 Cl 2.30-2.45, 1 Br 2.46
Br 0.7516 0.2965 0.7500  1 W 2.46
Cl 0.7078 0.8467 0.9999  2 W 2.45
Cl 0.7078 0.8467 0.5001  2 W 2.45
Cl 0.2922 0.1533 0.0001  2 W 2.45
Cl 0.7324 0.2737 0.2500  1 W 2.30


Question: The lowest DFT total energy belongs to which entry?
Answer: CeTcW


Question: Among the records above, which one has the lowest DFT total energy?
Answer: CeTcW


Repeat the first record exactly.
CeTcW: optimized geometry, PBE.

density = 12.1 Mg/m³
N(E_F) = 1.5350 states/eV per atom
DFT total energy = -9.6359 eV per atom
excess energy over the best structure of this formula in the dataset = 0 meV/atom
total moment = 0.000 μB per cell

Cell lengths 3.1273, 3.1273, 6.3373 Å; angles 104.28, 104.28, 90.00 degrees
With the nearest neighbours (Å) after each atom.
Positions (direct):
Ce 0.0023 0.0023 0.0046  4 Ce 3.13, 4 Tc 3.16, 4 W 3.21
Tc 0.6918 0.6918 0.3836  4 W 2.59
W 0.3059 0.3059 0.6118  4 Tc 2.59


Question: density of number 1 (CeTcW)?
Answer: 12.1 Mg/m³